First-principles (GGA-PBE) data for a geometry-optimized SrCa2Cu2 structure, as listed in Alexandria via LeMat-Bulk.

The structure belongs to space group P4/mbm (No. 127); the cell edges are 8.719, 8.719 and 3.483 Å and the angles 90.00°, 90.00° and 90.00°. The inequivalent atoms are Sr at (0.000, 0.000, 0.000), Ca at (0.133, 0.367, 0.000) and Cu at (0.163, 0.663, 0.500).

The calculation puts the formation energy from the elements at 0.100 eV/atom. The calculation puts the total moment at 0.00 μB per formula unit. The value obtained for the polymorph energy (0 for the lowest one) is 208 meV per atom.